[1]
# SrCd2Re

A relaxed SrCd2Re crystal (PBE, Alexandria via LeMat-Bulk).

a = 3.026 Å, b = 3.026 Å, c = 9.543 Å
α = 90.00°, β = 90.00°, γ = 90.01°
Last column: magnetic moment on the atom in μB.
Atoms (fractional coordinates):
Cd1 0.000 0.000 0.034  0.00
Cd2 0.000 0.000 0.466  0.00
Re1 0.500 0.500 0.250  0.54
Sr1 0.500 0.500 0.750  -0.01

Results
The calculation puts the energy above the most stable polymorph in this dataset at 78 meV per atom. As for the symmetry: P4/mmm. Its total magnetization is 0.58 μB/f.u. Its raw total energy is -3.384 eV per atom.

=====

[2]
# SrCd2Re

A relaxed SrCd2Re crystal (PBE, Alexandria via LeMat-Bulk).

a = 2.972 Å, b = 5.716 Å, c = 6.358 Å
α = 55.38°, β = 90.00°, γ = 90.00°
Atoms (fractional coordinates):
Cd1 0.000 0.000 0.000
Cd2 0.500 0.500 0.000
Re1 0.500 0.500 0.500
Sr1 0.000 0.000 0.500

Results
The calculation puts the energy above the most stable polymorph in this dataset at 205 meV per atom. As for the symmetry: P2/m. Its total magnetization is 0.00 μB/f.u. Its raw total energy is -3.257 eV per atom.

=====

[3]
# Sr2CdRe

A relaxed Sr2CdRe crystal (PBE, Alexandria via LeMat-Bulk).

a = 11.067 Å, b = 11.067 Å, c = 11.067 Å
α = 18.05°, β = 18.05°, γ = 18.05°
Last column: magnetic moment on the atom in μB.
Atoms (fractional coordinates):
Cd1 0.250 0.250 0.250  -0.01
Re1 0.750 0.750 0.750  0.79
Sr1 0.011 0.011 0.011  0.00
Sr2 0.489 0.489 0.489  0.00

Results
As for the symmetry: R-3m. Its total magnetization is 0.84 μB/f.u. Its raw total energy is -3.326 eV per atom.

=====

[4]
# Sr2CdRe

A relaxed Sr2CdRe crystal (PBE, Alexandria via LeMat-Bulk).

a = 5.793 Å, b = 5.793 Å, c = 5.793 Å
α = 131.46°, β = 131.46°, γ = 71.08°
Last column: magnetic moment on the atom in μB.
Atoms (fractional coordinates):
Cd1 0.500 0.500 0.000  -0.03
Re1 0.750 0.250 0.500  1.03
Sr1 0.000 0.000 0.000  -0.02
Sr2 0.250 0.750 0.500  -0.03

Results
As for the symmetry: I-4m2. Its total magnetization is 1.02 μB/f.u. Its raw total energy is -3.370 eV per atom.

=====

[5]
# Sr2CdRe

A relaxed Sr2CdRe crystal (PBE, Alexandria via LeMat-Bulk).

a = 5.350 Å, b = 3.178 Å, c = 6.192 Å
α = 90.21°, β = 90.00°, γ = 90.00°
Atoms (fractional coordinates):
Cd1 0.000 0.625 0.488
Re1 0.500 0.625 0.766
Sr1 0.000 0.128 0.941
Sr2 0.500 0.122 0.305

Results
As for the symmetry: Pm. Its total magnetization is 0.00 μB/f.u. Its raw total energy is -3.474 eV per atom.

=====

[6]
# SrCd2Re

A relaxed SrCd2Re crystal (PBE, Alexandria via LeMat-Bulk).

a = 10.645 Å, b = 10.645 Å, c = 10.645 Å
α = 16.90°, β = 16.90°, γ = 16.90°
Last column: magnetic moment on the atom in μB.
Atoms (fractional coordinates):
Cd1 0.995 0.995 0.995  0.00
Cd2 0.244 0.244 0.244  0.01
Re1 0.504 0.504 0.504  0.62
Sr1 0.757 0.757 0.757  0.00

Results
The calculation puts the energy above the most stable polymorph in this dataset at 213 meV per atom. As for the symmetry: R3m. Its total magnetization is 0.71 μB/f.u. Its raw total energy is -3.248 eV per atom.

=====

[7]
# SrCd2Re

A relaxed SrCd2Re crystal (PBE, Alexandria via LeMat-Bulk).

a = 7.061 Å, b = 5.498 Å, c = 3.017 Å
α = 90.08°, β = 64.57°, γ = 121.62°
Atoms (fractional coordinates):
Cd1 0.000 0.000 0.000
Cd2 0.500 0.000 0.500
Re1 0.000 0.500 0.500
Sr1 0.500 0.500 0.000

Results
The calculation puts the energy above the most stable polymorph in this dataset at 171 meV per atom. As for the symmetry: C2/m. Its total magnetization is 0.00 μB/f.u. Its raw total energy is -3.290 eV per atom.

=====

[8]
# SrCd2Re

A relaxed SrCd2Re crystal (PBE, Alexandria via LeMat-Bulk).

a = 5.533 Å, b = 5.533 Å, c = 5.533 Å
α = 132.24°, β = 132.24°, γ = 69.84°
Last column: magnetic moment on the atom in μB.
Atoms (fractional coordinates):
Cd1 0.000 0.000 0.000  -0.02
Cd2 0.250 0.750 0.500  -0.02
Re1 0.500 0.500 0.000  0.92
Sr1 0.750 0.250 0.500  0.00

Results
The calculation puts the energy above the most stable polymorph in this dataset at 228 meV per atom. As for the symmetry: I-4m2. Its total magnetization is 0.96 μB/f.u. Its raw total energy is -3.233 eV per atom.

=====

[9]
# Sr2CdRe

A relaxed Sr2CdRe crystal (PBE, Alexandria via LeMat-Bulk).

a = 3.918 Å, b = 3.178 Å, c = 9.481 Å
α = 70.41°, β = 90.00°, γ = 90.00°
Atoms (fractional coordinates):
Cd1 0.500 0.250 0.250
Re1 0.500 0.750 0.750
Sr1 0.000 0.032 0.969
Sr2 0.000 0.468 0.531

Results
As for the symmetry: Pmmm. Its total magnetization is 0.00 μB/f.u. Its raw total energy is -3.511 eV per atom.

=====

[10]
# SrCd2Re

A relaxed SrCd2Re crystal (PBE, Alexandria via LeMat-Bulk).

a = 4.371 Å, b = 2.994 Å, c = 7.432 Å
α = 66.13°, β = 90.00°, γ = 90.00°
Last column: magnetic moment on the atom in μB.
Atoms (fractional coordinates):
Cd1 0.000 0.953 0.046  0.00
Cd2 0.000 0.547 0.454  0.00
Re1 0.500 0.250 0.250  0.06
Sr1 0.500 0.750 0.750  0.00

Results
The calculation puts the energy above the most stable polymorph in this dataset at 0 meV per atom. As for the symmetry: P2/m. Its total magnetization is 0.07 μB/f.u. Its raw total energy is -3.461 eV per atom.

=====

[11]
# Sr2CdRe

A relaxed Sr2CdRe crystal (PBE, Alexandria via LeMat-Bulk).

a = 3.753 Å, b = 3.753 Å, c = 10.615 Å
α = 84.66°, β = 84.66°, γ = 48.68°
Atoms (fractional coordinates):
Cd1 0.250 0.250 0.250
Re1 0.750 0.750 0.750
Sr1 0.003 0.003 0.969
Sr2 0.497 0.497 0.531

Results
As for the symmetry: C2/m. Its total magnetization is 0.00 μB/f.u. Its raw total energy is -3.352 eV per atom.

=====

[12]
# SrCd2Re

A relaxed SrCd2Re crystal (PBE, Alexandria via LeMat-Bulk).

a = 4.650 Å, b = 2.949 Å, c = 6.933 Å
α = 78.56°, β = 90.00°, γ = 90.00°
Atoms (fractional coordinates):
Cd1 0.000 0.172 0.043
Cd2 0.500 0.040 0.289
Re1 0.000 0.473 0.431
Sr1 0.500 0.815 0.737

Results
The calculation puts the energy above the most stable polymorph in this dataset at 121 meV per atom. As for the symmetry: Pm. Its total magnetization is 0.01 μB/f.u. Its raw total energy is -3.340 eV per atom.

=====

[13]
# Sr2CdRe

A relaxed Sr2CdRe crystal (PBE, Alexandria via LeMat-Bulk).

a = 5.298 Å, b = 5.298 Å, c = 5.298 Å
α = 60.00°, β = 60.00°, γ = 60.00°
Last column: magnetic moment on the atom in μB.
Atoms (fractional coordinates):
Cd1 0.500 0.500 0.500  -0.04
Re1 0.750 0.750 0.750  1.11
Sr1 0.000 0.000 0.000  0.00
Sr2 0.250 0.250 0.250  -0.05

Results
As for the symmetry: F-43m. Its total magnetization is 1.01 μB/f.u. Its raw total energy is -3.342 eV per atom.

=====

[14]
# SrCd2Re

A relaxed SrCd2Re crystal (PBE, Alexandria via LeMat-Bulk).

a = 4.884 Å, b = 4.884 Å, c = 10.284 Å
α = 76.26°, β = 76.26°, γ = 90.00°
Last column: magnetic moment on the atom in μB.
Atoms (fractional coordinates):
Re1 0.000 0.000 0.000  1.21
Re2 0.750 0.250 0.500  1.21
Sr1 0.500 0.500 0.000  -0.02
Sr2 0.250 0.750 0.500  -0.02
Cd1 0.740 0.125 0.250  -0.03
Cd2 0.010 0.625 0.250  -0.03
Cd3 0.375 0.260 0.750  -0.03
Cd4 0.875 0.990 0.750  -0.03

Results
The calculation puts the energy above the most stable polymorph in this dataset at 367 meV per atom. As for the symmetry: I-42d. Its total magnetization is 1.23 μB/f.u. Its raw total energy is -3.094 eV per atom.

=====

[15]
# SrCd2Re

A relaxed SrCd2Re crystal (PBE, Alexandria via LeMat-Bulk).

a = 6.052 Å, b = 6.052 Å, c = 5.488 Å
α = 74.50°, β = 74.50°, γ = 28.45°
Atoms (fractional coordinates):
Cd1 0.016 0.016 0.953
Cd2 0.794 0.794 0.781
Re1 0.474 0.474 0.440
Sr1 0.216 0.216 0.326

Results
The calculation puts the energy above the most stable polymorph in this dataset at 109 meV per atom. As for the symmetry: Cm. Its total magnetization is 0.00 μB/f.u. Its raw total energy is -3.352 eV per atom.

=====

[16]
# Sr2CdRe

A relaxed Sr2CdRe crystal (PBE, Alexandria via LeMat-Bulk).

a = 4.647 Å, b = 4.647 Å, c = 11.203 Å
α = 78.03°, β = 78.03°, γ = 90.00°
Last column: magnetic moment on the atom in μB.
Atoms (fractional coordinates):
Re1 0.000 0.000 0.000  1.21
Re2 0.750 0.250 0.500  1.20
Sr1 0.638 0.125 0.250  -0.04
Sr2 0.112 0.625 0.250  -0.04
Sr3 0.375 0.362 0.750  -0.04
Sr4 0.875 0.888 0.750  -0.04
Cd1 0.500 0.500 0.000  -0.03
Cd2 0.250 0.750 0.500  -0.03

Results
As for the symmetry: I-42d. Its total magnetization is 1.01 μB/f.u. Its raw total energy is -2.953 eV per atom.

=====

[17]
# Sr2CdRe

A relaxed Sr2CdRe crystal (PBE, Alexandria via LeMat-Bulk).

a = 6.701 Å, b = 6.701 Å, c = 6.701 Å
α = 148.95°, β = 131.56°, γ = 58.66°
Last column: magnetic moment on the atom in μB.
Atoms (fractional coordinates):
Cd1 0.456 0.456 0.000  -0.01
Re1 0.274 0.774 0.500  1.19
Sr1 0.036 0.036 0.000  -0.02
Sr2 0.734 0.234 0.500  -0.01

Results
As for the symmetry: Imm2. Its total magnetization is 1.23 μB/f.u. Its raw total energy is -3.526 eV per atom.

=====

[18]
# SrCd2Re

A relaxed SrCd2Re crystal (PBE, Alexandria via LeMat-Bulk).

a = 5.287 Å, b = 5.287 Å, c = 6.133 Å
α = 83.81°, β = 83.81°, γ = 31.82°
Atoms (fractional coordinates):
Cd1 0.012 0.012 0.954
Cd2 0.488 0.488 0.546
Re1 0.750 0.750 0.750
Sr1 0.250 0.250 0.250

Results
The calculation puts the energy above the most stable polymorph in this dataset at 54 meV per atom. As for the symmetry: C2/m. Its total magnetization is 0.00 μB/f.u. Its raw total energy is -3.407 eV per atom.

=====

[19]
# Sr2CdRe

A relaxed Sr2CdRe crystal (PBE, Alexandria via LeMat-Bulk).

a = 6.291 Å, b = 6.291 Å, c = 5.834 Å
α = 74.70°, β = 74.70°, γ = 29.26°
Atoms (fractional coordinates):
Cd1 0.457 0.457 0.484
Re1 0.783 0.783 0.783
Sr1 0.035 0.035 0.927
Sr2 0.225 0.225 0.306

Results
As for the symmetry: Cm. Its total magnetization is 0.00 μB/f.u. Its raw total energy is -3.565 eV per atom.

=====

[20]
# SrCd3Re

A relaxed SrCd3Re crystal (PBE, Alexandria via LeMat-Bulk).

a = 5.265 Å, b = 5.265 Å, c = 5.265 Å
α = 90.00°, β = 90.00°, γ = 90.00°
Atoms (fractional coordinates):
Re1 0.000 0.000 0.000
Sr1 0.500 0.500 0.500
Cd1 0.000 0.500 0.000
Cd2 0.000 0.000 0.500
Cd3 0.500 0.000 0.000

Results
The calculation puts the energy above the most stable polymorph in this dataset at 0 meV per atom. As for the symmetry: Pm-3m. Its total magnetization is 0.00 μB/f.u. Its raw total energy is -2.918 eV per atom.

=====

[21]
# SrCd2Re

A relaxed SrCd2Re crystal (PBE, Alexandria via LeMat-Bulk).

a = 2.971 Å, b = 3.710 Å, c = 8.437 Å
α = 90.00°, β = 90.00°, γ = 90.00°
Atoms (fractional coordinates):
Cd1 0.000 0.000 0.041
Cd2 0.500 0.500 0.274
Re1 0.000 0.000 0.460
Sr1 0.500 0.500 0.725

Results
The calculation puts the energy above the most stable polymorph in this dataset at 84 meV per atom. As for the symmetry: Pmm2. Its total magnetization is 0.00 μB/f.u. Its raw total energy is -3.377 eV per atom.

=====

[22]
# SrCd2Re

A relaxed SrCd2Re crystal (PBE, Alexandria via LeMat-Bulk).

a = 4.710 Å, b = 4.710 Å, c = 4.066 Å
α = 90.00°, β = 90.00°, γ = 90.00°
Atoms (fractional coordinates):
Cd1 0.000 0.000 0.000
Cd2 0.500 0.500 0.000
Re1 0.500 0.000 0.500
Sr1 0.000 0.500 0.500

Results
The calculation puts the energy above the most stable polymorph in this dataset at 221 meV per atom. As for the symmetry: P4/mmm. Its total magnetization is 0.00 μB/f.u. Its raw total energy is -3.240 eV per atom.

=====

[23]
# Sr3CdRe

A relaxed Sr3CdRe crystal (PBE, Alexandria via LeMat-Bulk).

a = 5.805 Å, b = 5.805 Å, c = 5.805 Å
α = 90.00°, β = 90.00°, γ = 90.00°
Atoms (fractional coordinates):
Re1 0.000 0.000 0.000
Sr1 0.000 0.500 0.000
Sr2 0.000 0.000 0.500
Sr3 0.500 0.000 0.000
Cd1 0.500 0.500 0.500

Results
The calculation puts the energy above the most stable polymorph in this dataset at 0 meV per atom. As for the symmetry: Pm-3m. Its total magnetization is 0.00 μB/f.u. Its raw total energy is -3.009 eV per atom.

=====

[24]
# SrCd2Re

A relaxed SrCd2Re crystal (PBE, Alexandria via LeMat-Bulk).

a = 6.494 Å, b = 6.494 Å, c = 6.494 Å
α = 152.54°, β = 130.34°, γ = 57.68°
Atoms (fractional coordinates):
Cd1 0.958 0.958 0.000
Cd2 0.542 0.542 0.000
Re1 0.750 0.250 0.500
Sr1 0.250 0.750 0.500

Results
The calculation puts the energy above the most stable polymorph in this dataset at 85 meV per atom. As for the symmetry: Immm. Its total magnetization is 0.00 μB/f.u. Its raw total energy is -3.377 eV per atom.

=====

[25]
# SrCd2Re

A relaxed SrCd2Re crystal (PBE, Alexandria via LeMat-Bulk).

a = 3.015 Å, b = 3.015 Å, c = 9.702 Å
α = 90.00°, β = 90.00°, γ = 90.00°
Last column: magnetic moment on the atom in μB.
Atoms (fractional coordinates):
Cd1 0.000 0.000 0.021  0.00
Cd2 0.500 0.500 0.267  0.00
Re1 0.000 0.000 0.479  0.34
Sr1 0.500 0.500 0.732  -0.01

Results
The calculation puts the energy above the most stable polymorph in this dataset at 75 meV per atom. As for the symmetry: P4mm. Its total magnetization is 0.35 μB/f.u. Its raw total energy is -3.386 eV per atom.

=====

[26]
# Sr2CdRe

A relaxed Sr2CdRe crystal (PBE, Alexandria via LeMat-Bulk).

a = 3.714 Å, b = 3.714 Å, c = 8.871 Å
α = 90.00°, β = 90.00°, γ = 90.00°
Atoms (fractional coordinates):
Cd1 0.000 0.000 0.570
Re1 0.500 0.500 0.681
Sr1 0.000 0.000 0.920
Sr2 0.500 0.500 0.329

Results
As for the symmetry: P4mm. Its total magnetization is 0.02 μB/f.u. Its raw total energy is -3.530 eV per atom.

=====

[27]
# SrCd4Re

A relaxed SrCd4Re crystal (PBE, Alexandria via LeMat-Bulk).

a = 5.776 Å, b = 5.776 Å, c = 5.776 Å
α = 60.00°, β = 60.00°, γ = 60.00°
Last column: magnetic moment on the atom in μB.
Atoms (fractional coordinates):
Sr1 0.000 0.000 0.000  0.04
Cd1 0.872 0.376 0.376  -0.01
Cd2 0.376 0.376 0.872  -0.01
Cd3 0.376 0.872 0.376  -0.01
Cd4 0.376 0.376 0.376  -0.01
Re1 0.750 0.750 0.750  2.15

Results
As for the symmetry: F-43m. Its total magnetization is 2.76 μB/f.u. Its raw total energy is -2.513 eV per atom.

=====

[28]
# SrCd2Re

A relaxed SrCd2Re crystal (PBE, Alexandria via LeMat-Bulk).

a = 5.108 Å, b = 5.108 Å, c = 5.108 Å
α = 60.00°, β = 60.00°, γ = 60.00°
Last column: magnetic moment on the atom in μB.
Atoms (fractional coordinates):
Cd1 0.000 0.000 0.000  -0.02
Cd2 0.250 0.250 0.250  -0.03
Re1 0.500 0.500 0.500  1.64
Sr1 0.750 0.750 0.750  0.02

Results
The calculation puts the energy above the most stable polymorph in this dataset at 319 meV per atom. As for the symmetry: F-43m. Its total magnetization is 1.84 μB/f.u. Its raw total energy is -3.142 eV per atom.

=====

[29]
# SrCd2Re

A relaxed SrCd2Re crystal (PBE, Alexandria via LeMat-Bulk).

a = 5.360 Å, b = 5.360 Å, c = 5.360 Å
α = 128.68°, β = 128.68°, γ = 75.53°
Last column: magnetic moment on the atom in μB.
Atoms (fractional coordinates):
Cd1 0.000 0.000 0.000  -0.02
Cd2 0.500 0.500 0.000  -0.02
Re1 0.250 0.750 0.500  1.43
Sr1 0.750 0.250 0.500  -0.01

Results
The calculation puts the energy above the most stable polymorph in this dataset at 152 meV per atom. As for the symmetry: I4/mmm. Its total magnetization is 1.60 μB/f.u. Its raw total energy is -3.310 eV per atom.

=====

[30]
# SrCd2Re

A relaxed SrCd2Re crystal (PBE, Alexandria via LeMat-Bulk).

a = 6.337 Å, b = 6.337 Å, c = 6.337 Å
α = 152.13°, β = 129.57°, γ = 58.60°
Atoms (fractional coordinates):
Cd1 0.985 0.985 0.000
Cd2 0.728 0.228 0.500
Re1 0.517 0.517 0.000
Sr1 0.270 0.770 0.500

Results
The calculation puts the energy above the most stable polymorph in this dataset at 148 meV per atom. As for the symmetry: Imm2. Its total magnetization is 0.00 μB/f.u. Its raw total energy is -3.313 eV per atom.